[1]
! HgP3S PBE-GGA optimized geometry; values from VASP
! N(E_F) = 0.667 states/eV/atom
! Uncorrected formation energy = 0.97 eV per atom
! DFT total energy = -3.16 eV/atom
! Calculated volume = 19.33 Å³ per atom
&SYSTEM
  ibrav = 0, nat = 5, ntyp = 3
/
ATOMIC_SPECIES
S 32.06 S.upf
Hg 200.59 Hg.upf
P 30.97 P.upf
CELL_PARAMETERS angstrom
-1.1847 -1.5482 4.1547
-4.1110 -1.2273 -1.6295
1.6608 -4.1423 -1.0700
ATOMIC_POSITIONS angstrom
S 0.0000 0.0000 0.0000
Hg -1.8174 -3.4589 0.7276
P -2.0555 -0.6136 -0.8148
P -0.5923 -0.7741 2.0774
P 0.8304 -2.0712 -0.5350

---

[2]
! Ca2Pd3Pb5 PBE-GGA optimized geometry; values from VASP
! N(E_F) = 0.465 states/eV/atom
! DFT total energy = -4.26 eV/atom
! Calculated volume = 24.85 Å³ per atom
&SYSTEM
  ibrav = 0, nat = 20, ntyp = 3
/
ATOMIC_SPECIES
Pb 207.20 Pb.upf
Pd 106.42 Pd.upf
Ca 40.08 Ca.upf
CELL_PARAMETERS angstrom
4.5828 0.0000 -0.7807
0.0000 7.6600 0.0000
0.0524 0.0000 14.1498
ATOMIC_POSITIONS angstrom
Pb 1.3844 7.0798 8.1271
Pb 4.0684 5.7858 10.0414
Pb 1.3682 3.8173 8.0322
Pb 3.2509 3.2497 5.2420
Pb 0.2335 4.5869 1.3705
Pb 2.7375 6.8329 2.2286
Pb 3.2670 7.6473 5.3370
Pb 4.4018 0.7569 11.9986
Pb 0.5669 1.9558 3.3277
Pb 1.8977 3.0029 11.1405
Pd 2.7931 3.9791 2.5548
Pd 4.4199 3.7091 12.1047
Pd 1.8422 0.1490 10.8143
Pd 3.5847 5.4322 7.2015
Pd 0.2154 7.5391 1.2644
Pd 1.0506 1.6022 6.1676
Ca 3.8308 1.6322 8.6467
Ca 2.4032 2.0694 0.2659
Ca 0.8044 5.4622 4.7224
Ca 2.2321 5.8995 13.1032

---

[3]
! Li2TcCl PBE-GGA optimized geometry; values from VASP
! N(E_F) = 0.574 states/eV/atom
! Uncorrected formation energy = 0.07 eV per atom
! DFT total energy = -3.94 eV/atom
! Calculated volume = 16.30 Å³ per atom
&SYSTEM
  ibrav = 0, nat = 4, ntyp = 3
/
ATOMIC_SPECIES
Cl 35.45 Cl.upf
Li 6.94 Li.upf
Tc 98.00 Tc.upf
CELL_PARAMETERS angstrom
-5.4744 -1.2998 -5.1632
-2.2523 -3.8181 -6.2182
2.9354 1.1459 6.9561
ATOMIC_POSITIONS angstrom
Cl -1.8634 -2.7966 -2.8789
Li -2.9642 -1.1995 -1.5998
Li -0.4178 -0.2768 -0.6155
Tc -3.4092 -2.2582 -5.0217

---

[4]
! Li5Se2Br PBE-GGA optimized geometry; values from VASP
! N(E_F) = 0.000 states/eV/atom
! Uncorrected formation energy = -1.26 eV per atom
! DFT total energy = -3.54 eV/atom
! Calculated volume = 20.15 Å³ per atom
&SYSTEM
  ibrav = 0, nat = 32, ntyp = 3
/
ATOMIC_SPECIES
Se 78.96 Se.upf
Li 6.94 Li.upf
Br 79.90 Br.upf
CELL_PARAMETERS angstrom
7.1373 0.0000 -1.6557
0.0000 8.6121 0.0000
0.1604 0.0000 10.4509
ATOMIC_POSITIONS angstrom
Se 0.2594 5.4631 3.6989
Se 7.0383 3.1490 5.0962
Se 1.7961 5.3913 -0.2994
Se 5.3647 7.5269 -1.1273
Se 3.4697 1.1570 5.9241
Se 5.5016 3.2209 9.0946
Se 3.8280 7.4551 2.8711
Se 1.9330 1.0852 9.9224
Li 1.4109 1.1578 7.4591
Li 4.3843 7.4972 5.4885
Li 0.5543 7.4772 9.6032
Li 6.4821 3.1911 2.4788
Li 5.8868 7.4543 1.3361
Li 2.0982 3.1863 5.3735
Li 5.1995 5.4258 3.4217
Li 5.6668 1.1197 4.5456
Li 3.1748 3.1712 0.0198
Li 4.1595 0.9787 8.5361
Li 6.7434 1.1349 -0.8080
Li 2.3181 5.4639 2.1639
Li 6.7068 5.2847 -0.5688
Li 3.1382 7.6335 0.2590
Li 0.8156 5.4210 6.3163
Li 2.9134 1.1149 3.3067
Li 1.6309 7.4924 4.2496
Li 4.1229 5.4410 8.7753
Li 0.5909 3.3274 9.3640
Li 4.9796 3.1482 6.6312
Br 3.4259 5.2840 6.2111
Br 3.8718 3.3282 2.5841
Br 6.9946 7.6342 5.3832
Br 0.3031 0.9779 3.4120

---

[5]
! K2Na2Cl2O PBE-GGA optimized geometry; values from VASP
! N(E_F) = 0.000 states/eV/atom
! Uncorrected formation energy = -1.60 eV per atom
! DFT total energy = -3.52 eV/atom
! Calculated volume = 24.46 Å³ per atom
&SYSTEM
  ibrav = 0, nat = 7, ntyp = 4
/
ATOMIC_SPECIES
K 39.10 K.upf
O 16.00 O.upf
Cl 35.45 Cl.upf
Na 22.99 Na.upf
CELL_PARAMETERS angstrom
4.5679 0.0000 0.0000
0.0000 4.5679 0.0000
-2.2840 -2.2840 8.2064
ATOMIC_POSITIONS angstrom
K 0.0000 0.0000 2.6061
K 2.2840 2.2840 5.6003
O 0.0000 0.0000 0.0000
Cl 2.2840 2.2840 2.3281
Cl 0.0000 0.0000 5.8783
Na 2.2840 0.0000 0.0000
Na 0.0000 2.2840 0.0000

---

[6]
! Sr2ErGaTe5 PBE-GGA optimized geometry; values from VASP
! Uncorrected formation energy = -1.24 eV per atom
! DFT total energy = -4.21 eV/atom
! Calculated volume = 33.74 Å³ per atom
&SYSTEM
  ibrav = 0, nat = 18, ntyp = 4
/
ATOMIC_SPECIES
Er 167.26 Er.upf
Te 127.60 Te.upf
Ga 69.72 Ga.upf
Sr 87.62 Sr.upf
CELL_PARAMETERS angstrom
-0.2120 4.3646 -0.3450
-8.0449 -2.1106 6.0880
8.0543 1.2671 11.0825
ATOMIC_POSITIONS angstrom
Er -0.6748 2.8887 9.1141
Er -3.1649 0.0602 2.7068
Te -5.7443 0.0560 4.2379
Te -2.1548 0.5075 7.7452
Te -0.3784 0.0685 1.0997
Te 2.0428 2.5219 2.8044
Te 1.5802 2.8419 7.1367
Te -1.9556 1.0447 14.4197
Te 0.6750 0.8980 10.9465
Te 3.8073 3.3054 11.6328
Te -2.0761 2.4346 4.2298
Te -3.0661 2.9425 11.2649
Ga -3.6556 0.6132 10.0044
Ga 6.4215 3.3749 10.9055
Sr 0.5618 0.4254 5.0372
Sr 3.5380 0.8817 8.9821
Sr -4.8312 2.4678 6.3427
Sr 0.3899 3.2773 13.3766

---

[7]
! CrCd2Ir PBE-GGA optimized geometry; values from VASP
! N(E_F) = 0.738 states/eV/atom
! DFT total energy = -4.69 eV/atom
! Calculated volume = 17.76 Å³ per atom
&SYSTEM
  ibrav = 0, nat = 4, ntyp = 3
/
ATOMIC_SPECIES
Cd 112.41 Cd.upf
Cr 52.00 Cr.upf
Ir 192.22 Ir.upf
CELL_PARAMETERS angstrom
3.0110 0.0000 0.0000
0.0000 3.0110 0.0000
0.0000 0.0000 7.8373
ATOMIC_POSITIONS angstrom
Cd 0.0000 0.0000 7.7678
Cd 0.0000 0.0000 3.9881
Cr 1.5055 1.5055 1.9593
Ir 1.5055 1.5055 5.8780

---

[8]
! HoCu9Sn2 PBE-GGA optimized geometry; values from VASP
! N(E_F) = 0.525 states/eV/atom
! DFT total energy = -4.23 eV/atom
! Calculated volume = 15.14 Å³ per atom
&SYSTEM
  ibrav = 0, nat = 12, ntyp = 3
/
ATOMIC_SPECIES
Cu 63.55 Cu.upf
Ho 164.93 Ho.upf
Sn 118.71 Sn.upf
CELL_PARAMETERS angstrom
5.0649 0.0000 0.0000
2.5324 4.3863 0.0000
2.5324 1.4621 8.1759
ATOMIC_POSITIONS angstrom
Cu 6.3405 3.6607 6.1396
Cu 5.0649 4.3971 2.0363
Cu 6.3405 2.1877 2.0363
Cu 3.7893 3.6607 6.1396
Cu 5.0649 2.9242 4.0879
Cu 5.0649 1.4513 6.1396
Cu 5.0649 2.9242 0.0100
Cu 5.0649 2.9242 8.1659
Cu 3.7893 2.1877 2.0363
Ho 0.0000 0.0000 0.0000
Sn 2.5324 1.4621 4.7864
Sn 7.5973 4.3863 3.3894

---

[9]
! MnMo2W PBE-GGA optimized geometry; values from VASP
! N(E_F) = 0.688 states/eV/atom
! DFT total energy = -10.85 eV/atom
! Calculated volume = 15.05 Å³ per atom
&SYSTEM
  ibrav = 0, nat = 4, ntyp = 3
/
ATOMIC_SPECIES
W 183.84 W.upf
Mo 95.94 Mo.upf
Mn 54.94 Mn.upf
CELL_PARAMETERS angstrom
5.1161 -0.0098 0.0127
4.1616 2.9760 0.0127
1.9114 0.6111 3.9486
ATOMIC_POSITIONS angstrom
W 5.5875 1.7863 1.9908
Mo 8.3909 2.6826 2.9809
Mo 1.9222 0.6145 3.9430
Mn 2.7945 0.8934 0.9951

---

[10]
! Mn2ZnRh PBE-GGA optimized geometry; values from VASP
! N(E_F) = 0.894 states/eV/atom
! DFT total energy = -6.74 eV/atom
! Calculated volume = 12.51 Å³ per atom
&SYSTEM
  ibrav = 0, nat = 12, ntyp = 3
/
ATOMIC_SPECIES
Zn 65.41 Zn.upf
Mn 54.94 Mn.upf
Rh 102.91 Rh.upf
CELL_PARAMETERS angstrom
2.6360 0.0000 0.0000
-1.3180 2.2828 0.0000
0.0000 0.0000 24.9559
ATOMIC_POSITIONS angstrom
Zn 0.0000 1.5219 5.4002
Zn 1.3180 0.7609 22.0375
Zn 0.0000 0.0000 13.7189
Mn 0.0000 1.5219 19.8676
Mn 1.3180 0.7609 11.5489
Mn 1.3180 0.7609 18.0275
Mn 0.0000 0.0000 3.2303
Mn 0.0000 0.0000 9.7089
Mn 0.0000 1.5219 1.3903
Rh 0.0000 0.0000 24.2759
Rh 0.0000 1.5219 15.9573
Rh 1.3180 0.7609 7.6387

---

[11]
! Y4HgP PBE-GGA optimized geometry; values from VASP
! N(E_F) = 1.309 states/eV/atom
! DFT total energy = -4.87 eV/atom
! Calculated volume = 28.08 Å³ per atom
&SYSTEM
  ibrav = 0, nat = 6, ntyp = 3
/
ATOMIC_SPECIES
Y 88.91 Y.upf
Hg 200.59 Hg.upf
P 30.97 P.upf
CELL_PARAMETERS angstrom
0.0000 4.3839 4.3839
4.3839 0.0000 4.3839
4.3839 4.3839 0.0000
ATOMIC_POSITIONS angstrom
Y 3.2868 5.4810 5.4810
Y 5.4810 5.4810 3.2868
Y 3.2868 3.2868 3.2868
Y 5.4810 3.2868 5.4810
Hg 6.5759 6.5759 6.5759
P 0.0000 0.0000 0.0000

---

[12]
! PrSmHoZn PBE-GGA optimized geometry; values from VASP
! N(E_F) = 1.302 states/eV/atom
! DFT total energy = -3.81 eV/atom
! Calculated volume = 28.41 Å³ per atom
&SYSTEM
  ibrav = 0, nat = 4, ntyp = 4
/
ATOMIC_SPECIES
Zn 65.41 Zn.upf
Sm 150.36 Sm.upf
Ho 164.93 Ho.upf
Pr 140.91 Pr.upf
CELL_PARAMETERS angstrom
-3.0731 2.3887 3.7963
-1.6365 -2.8261 4.3470
2.0911 1.0933 4.8983
ATOMIC_POSITIONS angstrom
Zn 0.0000 0.0000 0.0000
Sm -0.6546 0.1640 3.2604
Ho -1.3093 0.3279 6.5208
Pr -1.9639 0.4919 9.7812

---

[13]
! HgPdS PBE-GGA optimized geometry; values from VASP
! N(E_F) = 0.375 states/eV/atom
! Uncorrected formation energy = -0.12 eV per atom
! DFT total energy = -3.33 eV/atom
! Calculated volume = 20.68 Å³ per atom
&SYSTEM
  ibrav = 0, nat = 6, ntyp = 3
/
ATOMIC_SPECIES
Pd 106.42 Pd.upf
Hg 200.59 Hg.upf
S 32.06 S.upf
CELL_PARAMETERS angstrom
3.4832 -0.0069 0.0001
1.2483 5.9353 -0.0020
1.3280 0.3830 5.9979
ATOMIC_POSITIONS angstrom
Pd 4.2197 4.1638 1.6531
Pd 2.9362 2.8149 5.1108
Hg 1.0297 0.1878 2.8225
Hg 3.8424 5.7497 5.6188
S 3.3568 2.1928 0.6738
S 4.6625 2.7649 3.5345

---

[14]
! KMgRu2 PBE-GGA optimized geometry; values from VASP
! N(E_F) = 0.821 states/eV/atom
! DFT total energy = -4.28 eV/atom
! Calculated volume = 18.35 Å³ per atom
&SYSTEM
  ibrav = 0, nat = 4, ntyp = 3
/
ATOMIC_SPECIES
Ru 101.07 Ru.upf
K 39.10 K.upf
Mg 24.30 Mg.upf
CELL_PARAMETERS angstrom
2.9062 0.0000 0.0000
0.0000 4.9359 0.0000
0.0000 0.0000 5.1163
ATOMIC_POSITIONS angstrom
Ru 0.0000 0.0000 0.0000
Ru 1.4531 2.4679 0.0000
K 1.4531 0.0000 2.5581
Mg 0.0000 2.4679 2.5581

---

[15]
! Hf6Ni5Ir PBE-GGA optimized geometry; values from VASP
! N(E_F) = 0.954 states/eV/atom
! DFT total energy = -8.65 eV/atom
! Calculated volume = 16.37 Å³ per atom
&SYSTEM
  ibrav = 0, nat = 12, ntyp = 3
/
ATOMIC_SPECIES
Ni 58.69 Ni.upf
Hf 178.49 Hf.upf
Ir 192.22 Ir.upf
CELL_PARAMETERS angstrom
4.3291 -0.0038 -1.2135
-3.2548 6.3502 -3.3020
-0.1471 -0.9257 7.8067
ATOMIC_POSITIONS angstrom
Ni -2.1938 3.8662 0.4905
Ni -1.2081 1.5584 4.0141
Ni 1.5160 0.2463 5.4076
Ni -0.5888 5.1744 -2.1165
Ni 0.4636 2.7104 1.6455
Hf 2.4002 1.3759 0.2297
Hf 0.7601 0.1336 2.7110
Hf -1.4730 4.0449 3.0614
Hf -0.2927 2.5985 -1.0523
Hf 1.2199 2.8223 4.3434
Hf 0.1672 5.2872 0.5801
Ir 0.0000 0.0000 0.0000

---

[16]
! SnSb2CI PBE-GGA optimized geometry; values from VASP
! N(E_F) = 0.539 states/eV/atom
! Uncorrected formation energy = 0.97 eV per atom
! DFT total energy = -3.63 eV/atom
! Calculated volume = 24.26 Å³ per atom
&SYSTEM
  ibrav = 0, nat = 5, ntyp = 4
/
ATOMIC_SPECIES
I 126.90 I.upf
Sn 118.71 Sn.upf
Sb 121.76 Sb.upf
C 12.01 C.upf
CELL_PARAMETERS angstrom
4.8752 0.0000 0.0000
0.0000 4.8752 0.0000
0.0000 0.0000 5.1033
ATOMIC_POSITIONS angstrom
I 0.0000 0.0000 2.5516
Sn 2.4376 2.4376 2.5516
Sb 0.0000 2.4376 0.0000
Sb 2.4376 0.0000 0.0000
C 0.0000 0.0000 0.0000

---

[17]
! YMgMo2 PBE-GGA optimized geometry; values from VASP
! N(E_F) = 1.219 states/eV/atom
! DFT total energy = -6.76 eV/atom
! Calculated volume = 19.36 Å³ per atom
&SYSTEM
  ibrav = 0, nat = 4, ntyp = 3
/
ATOMIC_SPECIES
Mg 24.30 Mg.upf
Y 88.91 Y.upf
Mo 95.94 Mo.upf
CELL_PARAMETERS angstrom
-6.8397 2.2285 7.1861
-8.7176 1.2352 5.0858
-7.3962 -0.6964 6.9425
ATOMIC_POSITIONS angstrom
Mg -17.2151 2.0755 14.4109
Y -5.7384 0.6918 4.8036
Mo -11.3943 1.3737 9.5383
Mo -0.0824 0.0099 0.0690

---

[18]
! SrInGa2Pd5 PBE-GGA optimized geometry; values from VASP
! N(E_F) = 0.552 states/eV/atom
! DFT total energy = -4.49 eV/atom
! Calculated volume = 19.53 Å³ per atom
&SYSTEM
  ibrav = 0, nat = 9, ntyp = 4
/
ATOMIC_SPECIES
Sr 87.62 Sr.upf
Pd 106.42 Pd.upf
Ga 69.72 Ga.upf
In 114.82 In.upf
CELL_PARAMETERS angstrom
-0.1862 4.6754 -1.2352
-0.1688 -1.2416 -4.6744
-7.4950 -0.2121 0.3270
ATOMIC_POSITIONS angstrom
Sr -3.7475 -0.1061 0.1635
Pd -1.6227 2.2944 -0.5509
Pd -1.6140 -0.6641 -2.2705
Pd -3.9250 1.6108 -2.7913
Pd -6.0498 -0.7897 -2.0769
Pd -6.0585 2.1689 -0.3574
Ga -1.4670 1.6804 -2.8985
Ga -6.3831 1.5413 -2.6841
In 0.0000 0.0000 0.0000

---

[19]
! CdH3Rh3 PBE-GGA optimized geometry; values from VASP
! N(E_F) = 0.698 states/eV/atom
! DFT total energy = -4.66 eV/atom
! Calculated volume = 11.05 Å³ per atom
&SYSTEM
  ibrav = 0, nat = 14, ntyp = 3
/
ATOMIC_SPECIES
Rh 102.91 Rh.upf
Cd 112.41 Cd.upf
H 1.01 H.upf
CELL_PARAMETERS angstrom
-0.4839 4.6392 -1.7202
-3.3133 3.0817 2.0593
3.7490 4.8341 4.7986
ATOMIC_POSITIONS angstrom
Rh 2.0180 5.6424 2.7685
Rh 0.7689 8.2544 2.8452
Rh -2.0662 6.9126 2.3691
Rh -0.0526 6.2008 4.7152
Rh -0.8171 4.3006 2.2924
Rh 0.0044 6.3542 0.4225
Cd -1.2624 2.5751 0.1161
Cd 1.2142 9.9799 5.0215
H -0.5797 7.6004 1.5645
H 0.5315 4.9546 3.5732
H 1.3617 6.9397 1.7270
H 0.6201 5.0321 1.5194
H -1.4099 5.6153 3.4106
H -0.6684 7.5229 3.6183

---

[20]
! Cu2PBr PBE-GGA optimized geometry; values from VASP
! N(E_F) = 0.400 states/eV/atom
! Uncorrected formation energy = 0.12 eV per atom
! DFT total energy = -3.70 eV/atom
! Calculated volume = 19.97 Å³ per atom
&SYSTEM
  ibrav = 0, nat = 4, ntyp = 3
/
ATOMIC_SPECIES
Cu 63.55 Cu.upf
Br 79.90 Br.upf
P 30.97 P.upf
CELL_PARAMETERS angstrom
-4.4605 -1.3046 -6.2884
-3.8115 -5.4334 -4.1343
2.1864 4.2377 6.1970
ATOMIC_POSITIONS angstrom
Cu -2.5255 0.3355 -1.7952
Cu -0.1482 -0.1207 -0.1867
Br -3.0631 -2.4310 -1.8044
P -4.4847 -3.6530 -5.6507